# Mn2TlHgF8

Mn2TlHgF8 after structural relaxation (PBE with a Hubbard U, Alexandria via LeMat-Bulk).

Summary:
Volume (Å³ per atom): 16.01
Energy (Ry per atom): -0.35468
Space-group type: P2/m (10)

Unit cell a=5.234 b=6.885 c=5.331 alpha=90.00 beta=90.35 gamma=90.00
Atoms (fractional coordinates):
Mn (0.000, 0.247, 0.000)
Mn (0.000, 0.753, 0.000)
Tl (0.500, 0.500, 0.500)
Hg (0.500, 0.000, 0.500)
F (0.180, 0.500, 0.172)
F (0.185, 0.000, 0.176)
F (0.276, 0.245, 0.716)
F (0.276, 0.755, 0.716)
F (0.724, 0.245, 0.284)
F (0.724, 0.755, 0.284)
F (0.815, 0.000, 0.824)
F (0.820, 0.500, 0.828)